Density functional theory data (PBE) for an optimized crystal structure of ZnMo4AuC2.

```
ZnMo4AuC2
1.0
3.0888 0.0000 0.0000
-1.5444 2.6750 0.0000
0.0000 0.0000 13.4531
Zn Mo Au C
1 4 1 2
Cartesian
0.0000 0.0000 0.0000
0.0000 0.0000 4.4216
0.0000 0.0000 9.0315
0.0000 1.7833 2.1706
0.0000 1.7833 11.2825
0.0000 1.7833 6.7265
1.5444 0.8917 3.3032
1.5444 0.8917 10.1498
```

Summary:
- space group = P-6m2, No. 187
- total magnetic moment (μB/f.u.) = 0.0
- crystal system = hexagonal
- raw total energy (eV per cell) = -66.125
- theoretical density (Mg/m³) = 10.01



Density functional theory data (PBE) for an optimized crystal structure of UReMo.

```
UReMo
1.0
0.0000 3.1022 3.1022
3.1022 0.0000 3.1022
3.1022 3.1022 0.0000
U Re Mo
1 1 1
Cartesian
0.0000 0.0000 0.0000
1.5511 1.5511 1.5511
4.6533 4.6533 4.6533
```

Summary:
- space group = F-43m, No. 216
- formation energy (eV/atom) = 0.926
- total magnetic moment (μB/f.u.) = 0.0
- crystal system = cubic
- offset from the most stable computed form (meV/atom) = 233
- theoretical density (Mg/m³) = 14.47



Density functional theory data (PBE) for an optimized crystal structure of Cs2RbCdCl6.

```
Cs2RbCdCl6
1.0
0.0000 5.6084 5.6084
5.6084 0.0000 5.6084
5.6084 5.6084 0.0000
Cs Rb Cd Cl
2 1 1 6
Cartesian
2.8042 2.8042 2.8042
8.4126 8.4126 8.4126
0.0000 0.0000 0.0000
5.6084 5.6084 5.6084
5.6084 5.6084 3.0289
5.6084 3.0289 5.6084
8.1879 5.6084 5.6084
3.0289 5.6084 5.6084
5.6084 8.1879 5.6084
5.6084 5.6084 8.1879
```

Summary:
- space group = Fm-3m, No. 225
- crystal system = cubic
- raw total energy (eV per cell) = -28.862
- theoretical density (Mg/m³) = 3.18



Density functional theory data (PBE) for an optimized crystal structure of KHoTlTe3.

```
KHoTlTe3
1.0
10.1298 -2.2266 0.0000
10.1298 2.2266 0.0000
-2.3116 0.0000 9.8994
K Ho Tl Te
2 2 2 6
Cartesian
2.7803 0.0000 0.7000
15.1676 0.0000 9.1994
2.2478 0.0000 5.7440
15.7001 0.0000 4.1554
9.1219 0.0000 2.7663
8.8260 0.0000 7.1331
-1.1558 0.0000 4.9497
6.0945 0.0000 2.0962
5.2266 0.0000 6.2631
10.1298 0.0000 0.0000
12.7213 0.0000 3.6363
11.8535 0.0000 7.8032
```

Summary:
- space group = C2/m, No. 12
- total magnetic moment (μB/f.u.) = 0.0
- crystal system = monoclinic
- offset from the most stable computed form (meV/atom) = 0
- theoretical density (Mg/m³) = 5.88



Density functional theory data (PBE) for an optimized crystal structure of NbGaO4.

```
NbGaO4
1.0
5.0309 0.0000 0.0000
-2.5154 4.3568 0.0000
0.0000 0.0000 11.6570
Nb Ga O
3 3 12
Cartesian
-1.0569 1.8305 1.9428
2.1137 0.0000 9.7142
1.4586 2.5263 5.8285
-1.0563 1.8296 7.7713
2.1127 0.0000 3.8857
1.4591 2.5272 0.0000
-1.4572 2.8933 9.2350
-1.4337 2.9259 3.4193
0.6984 1.6522 7.3050
0.7384 1.6482 1.4637
1.0582 1.4635 10.1933
1.0817 1.4309 4.3520
0.7354 4.1355 11.1906
0.7188 4.1722 5.3494
3.2343 0.1847 2.4220
3.2508 0.2213 8.2377
3.2138 2.7046 0.4663
3.2538 2.7086 6.3076
```

Summary:
- space group = P3_121, No. 152
- total magnetic moment (μB/f.u.) = 0.0
- crystal system = trigonal
- raw total energy (eV per cell) = -137.215
- theoretical density (Mg/m³) = 4.42



Density functional theory data (PBE) for an optimized crystal structure of KAcHo.

```
KAcHo
1.0
0.0000 4.3214 4.3214
4.3214 0.0000 4.3214
4.3214 4.3214 0.0000
K Ac Ho
1 1 1
Cartesian
0.0000 0.0000 0.0000
4.3214 4.3214 4.3214
6.4821 6.4821 6.4821
```

Summary:
- space group = F-43m, No. 216
- total magnetic moment (μB/f.u.) = 0.7
- crystal system = cubic
- offset from the most stable computed form (meV/atom) = 0
- theoretical density (Mg/m³) = 4.43



Density functional theory data (PBE) for an optimized crystal structure of ZrNbFeSi.

```
ZrNbFeSi
1.0
0.0000 3.1515 3.1515
3.1515 0.0000 3.1515
3.1515 3.1515 0.0000
Zr Nb Fe Si
1 1 1 1
Cartesian
0.0000 0.0000 0.0000
1.5757 1.5757 1.5757
4.7272 4.7272 4.7272
3.1515 3.1515 3.1515
```

Summary:
- space group = F-43m, No. 216
- total magnetic moment (μB/f.u.) = 2.7
- crystal system = cubic
- offset from the most stable computed form (meV/atom) = 0
- theoretical density (Mg/m³) = 7.11



Density functional theory data (PBE) for an optimized crystal structure of Er3Mg3Hg2Ir.

```
Er3Mg3Hg2Ir
1.0
7.4010 0.0000 0.0000
-3.7005 6.4094 0.0000
0.0000 0.0000 4.3614
Er Mg Hg Ir
3 3 2 1
Cartesian
-2.2623 3.9183 0.0000
1.4382 2.4911 0.0000
4.5245 0.0000 0.0000
-0.8635 1.4956 2.1807
1.7269 0.0000 2.1807
2.8370 4.9139 2.1807
0.0000 4.2730 2.1807
3.7005 2.1365 2.1807
0.0000 0.0000 0.0000
```

Summary:
- space group = P-62m, No. 189
- total magnetic moment (μB/f.u.) = 0.0
- crystal system = hexagonal
- raw total energy (eV per cell) = -32.001
- theoretical density (Mg/m³) = 9.38



Density functional theory data (PBE) for an optimized crystal structure of YFeTcB.

```
YFeTcB
1.0
0.0000 3.0412 3.0412
3.0412 0.0000 3.0412
3.0412 3.0412 0.0000
Y Fe Tc B
1 1 1 1
Cartesian
0.0000 0.0000 0.0000
4.5617 4.5617 4.5617
1.5206 1.5206 1.5206
3.0412 3.0412 3.0412
```

Summary:
- space group = F-43m, No. 216
- total magnetic moment (μB/f.u.) = 2.5
- crystal system = cubic
- raw total energy (eV per cell) = -28.874
- theoretical density (Mg/m³) = 7.48



Density functional theory data (PBE) for an optimized crystal structure of Na2In5Au6.

```
Na2In5Au6
1.0
9.4626 0.0000 0.0000
0.0000 9.4626 0.0000
0.0000 0.0000 9.4626
Na In Au
6 15 18
Cartesian
0.0000 3.1078 4.7313
0.0000 6.3548 4.7313
3.1078 4.7313 0.0000
4.7313 0.0000 3.1078
4.7313 0.0000 6.3548
6.3548 4.7313 0.0000
0.0000 4.7313 1.5545
0.0000 4.7313 7.9081
1.5545 0.0000 4.7313
2.0520 2.0520 2.0520
2.0520 2.0520 7.4106
2.0520 7.4106 2.0520
2.0520 7.4106 7.4106
4.7313 1.5545 0.0000
4.7313 4.7313 4.7313
4.7313 7.9081 0.0000
7.4106 2.0520 2.0520
7.4106 2.0520 7.4106
7.4106 7.4106 2.0520
7.4106 7.4106 7.4106
7.9081 0.0000 4.7313
0.0000 0.0000 2.2565
0.0000 0.0000 7.2062
0.0000 2.2565 0.0000
0.0000 7.2062 0.0000
2.2565 0.0000 0.0000
2.2688 4.7313 3.1021
2.2688 4.7313 6.3605
3.1021 2.2688 4.7313
3.1021 7.1939 4.7313
4.7313 3.1021 2.2688
4.7313 3.1021 7.1939
4.7313 6.3605 2.2688
4.7313 6.3605 7.1939
6.3605 2.2688 4.7313
6.3605 7.1939 4.7313
7.1939 4.7313 3.1021
7.1939 4.7313 6.3605
7.2062 0.0000 0.0000
```

Summary:
- space group = Pm-3, No. 200
- crystal system = cubic
- raw total energy (eV per cell) = -118.989
- theoretical density (Mg/m³) = 10.59



Density functional theory data (PBE) for an optimized crystal structure of LaBeReMo.

```
LaBeReMo
1.0
0.0000 3.1958 3.1958
3.1958 0.0000 3.1958
3.1958 3.1958 0.0000
La Be Re Mo
1 1 1 1
Cartesian
0.0000 0.0000 0.0000
3.1958 3.1958 3.1958
4.7937 4.7937 4.7937
1.5979 1.5979 1.5979
```

Summary:
- space group = F-43m, No. 216
- total magnetic moment (μB/f.u.) = 0.0
- crystal system = cubic
- offset from the most stable computed form (meV/atom) = 261
- theoretical density (Mg/m³) = 10.94



Density functional theory data (PBE) for an optimized crystal structure of Hf2CuGe.

```
Hf2CuGe
1.0
0.0000 3.3086 3.3086
3.3086 0.0000 3.3086
3.3086 3.3086 0.0000
Hf Cu Ge
2 1 1
Cartesian
0.0000 0.0000 0.0000
1.6543 1.6543 1.6543
4.9629 4.9629 4.9629
3.3086 3.3086 3.3086
```

Summary:
- space group = F-43m, No. 216
- total magnetic moment (μB/f.u.) = 0.1
- crystal system = cubic
- raw total energy (eV per cell) = -26.967
- theoretical density (Mg/m³) = 11.30